[1]
# NaSr2CdRh | the Alexandria database | GGA-PBE | relaxed
# total DFT energy (no corrections)	-13.00	eV/cell
# ΔE to the lowest computed polymorph	135	meV/atom
# total moment	0.00	μB/cell
# DOS at the Fermi energy	0.5467	states/eV/atom
# symmetry	No. 123
data_NaSr2CdRh
_space_group_name_H-M_alt 'P 1'
_space_group_IT_number 1
_space_group_name_Hall 'P 1'
_cell_length_a 5.7061
_cell_length_b 5.7061
_cell_length_c 5.4495
_cell_angle_alpha 90.00
_cell_angle_beta 90.00
_cell_angle_gamma 90.00
loop_
_atom_site_label
_atom_site_type_symbol
_atom_site_fract_x
_atom_site_fract_y
_atom_site_fract_z
_atom_site_occupancy
Cd1 Cd 0.5000 0.5000 0.5000 1
Na1 Na 0.0000 0.0000 0.5000 1
Sr1 Sr 0.0000 0.5000 0.0000 1
Sr2 Sr 0.5000 0.0000 0.0000 1
Rh1 Rh 0.0000 0.0000 0.0000 1

[2]
# Na2Sr6CdRh | the Alexandria database | GGA-PBE | relaxed
# total DFT energy (no corrections)	-22.08	eV/cell
# total moment	0.00	μB/cell
# DOS at the Fermi energy	0.5835	states/eV/atom
# symmetry	No. 12
data_Na2Sr6CdRh
_space_group_name_H-M_alt 'P 1'
_space_group_IT_number 1
_space_group_name_Hall 'P 1'
_cell_length_a 8.7443
_cell_length_b 8.7443
_cell_length_c 8.7097
_cell_angle_alpha 119.92
_cell_angle_beta 119.92
_cell_angle_gamma 89.94
loop_
_atom_site_label
_atom_site_type_symbol
_atom_site_fract_x
_atom_site_fract_y
_atom_site_fract_z
_atom_site_occupancy
Sr1 Sr 0.2366 0.7636 0.9999 1
Sr2 Sr 0.7632 0.2372 0.9998 1
Sr3 Sr 0.7640 0.7646 0.0015 1
Sr4 Sr 0.7634 0.7639 0.5259 1
Sr5 Sr 0.2359 0.2362 0.9982 1
Sr6 Sr 0.2362 0.2368 0.4734 1
Rh1 Rh 0.9998 0.0003 0.9996 1
Na1 Na 0.7499 0.2506 0.5001 1
Na2 Na 0.2501 0.7505 0.5001 1
Cd1 Cd 0.4998 0.5003 0.9995 1

[3]
# NaSrCd2Rh | the Alexandria database | GGA-PBE | relaxed
# total DFT energy (no corrections)	-12.64	eV/cell
# ΔE to the lowest computed polymorph	0	meV/atom
# total moment	0.00	μB/cell
# DOS at the Fermi energy	0.5462	states/eV/atom
# symmetry	No. 123
data_NaSrCd2Rh
_space_group_name_H-M_alt 'P 1'
_space_group_IT_number 1
_space_group_name_Hall 'P 1'
_cell_length_a 5.3284
_cell_length_b 5.3284
_cell_length_c 5.4958
_cell_angle_alpha 90.00
_cell_angle_beta 90.00
_cell_angle_gamma 90.00
loop_
_atom_site_label
_atom_site_type_symbol
_atom_site_fract_x
_atom_site_fract_y
_atom_site_fract_z
_atom_site_occupancy
Cd1 Cd 0.5000 0.0000 0.0000 1
Cd2 Cd 0.0000 0.5000 0.0000 1
Sr1 Sr 0.0000 0.0000 0.5000 1
Na1 Na 0.5000 0.5000 0.5000 1
Rh1 Rh 0.0000 0.0000 0.0000 1

[4]
# NaSr2CdRh | the Alexandria database | GGA-PBE | relaxed
# total DFT energy (no corrections)	-13.67	eV/cell
# ΔE to the lowest computed polymorph	0	meV/atom
# total moment	0.00	μB/cell
# DOS at the Fermi energy	0.8494	states/eV/atom
# symmetry	No. 123
data_NaSr2CdRh
_space_group_name_H-M_alt 'P 1'
_space_group_IT_number 1
_space_group_name_Hall 'P 1'
_cell_length_a 5.7517
_cell_length_b 5.7517
_cell_length_c 5.3843
_cell_angle_alpha 90.00
_cell_angle_beta 90.00
_cell_angle_gamma 90.00
loop_
_atom_site_label
_atom_site_type_symbol
_atom_site_fract_x
_atom_site_fract_y
_atom_site_fract_z
_atom_site_occupancy
Sr1 Sr 0.0000 0.5000 0.0000 1
Sr2 Sr 0.5000 0.0000 0.0000 1
Cd1 Cd 0.0000 0.0000 0.5000 1
Na1 Na 0.5000 0.5000 0.5000 1
Rh1 Rh 0.0000 0.0000 0.0000 1

[5]
# NaTlCd2Rh | the Alexandria database | GGA-PBE | relaxed
# total DFT energy (no corrections)	-13.04	eV/cell
# total moment	0.00	μB/cell
# DOS at the Fermi energy	0.4116	states/eV/atom
# symmetry	No. 123
data_NaTlCd2Rh
_space_group_name_H-M_alt 'P 1'
_space_group_IT_number 1
_space_group_name_Hall 'P 1'
_cell_length_a 5.2517
_cell_length_b 5.2517
_cell_length_c 5.2180
_cell_angle_alpha 90.00
_cell_angle_beta 90.00
_cell_angle_gamma 90.00
loop_
_atom_site_label
_atom_site_type_symbol
_atom_site_fract_x
_atom_site_fract_y
_atom_site_fract_z
_atom_site_occupancy
Na1 Na 0.5000 0.5000 0.5000 1
Tl1 Tl 0.0000 0.0000 0.5000 1
Rh1 Rh 0.0000 0.0000 0.0000 1
Cd1 Cd 0.5000 0.0000 0.0000 1
Cd2 Cd 0.0000 0.5000 0.0000 1

[6]
# NaTl2CdRh | the Alexandria database | GGA-PBE | relaxed
# total DFT energy (no corrections)	-14.48	eV/cell
# total moment	0.00	μB/cell
# DOS at the Fermi energy	0.5222	states/eV/atom
# symmetry	No. 123
data_NaTl2CdRh
_space_group_name_H-M_alt 'P 1'
_space_group_IT_number 1
_space_group_name_Hall 'P 1'
_cell_length_a 5.2624
_cell_length_b 5.2624
_cell_length_c 5.2906
_cell_angle_alpha 90.00
_cell_angle_beta 90.00
_cell_angle_gamma 90.00
loop_
_atom_site_label
_atom_site_type_symbol
_atom_site_fract_x
_atom_site_fract_y
_atom_site_fract_z
_atom_site_occupancy
Tl1 Tl 0.0000 0.5000 0.0000 1
Tl2 Tl 0.5000 0.0000 0.0000 1
Na1 Na 0.5000 0.5000 0.5000 1
Cd1 Cd 0.0000 0.0000 0.5000 1
Rh1 Rh 0.0000 0.0000 0.0000 1

[7]
# Na2ZnCdRh | the Alexandria database | GGA-PBE | relaxed
# total DFT energy (no corrections)	-10.52	eV/cell
# total moment	0.00	μB/cell
# DOS at the Fermi energy	0.2806	states/eV/atom
# symmetry	No. 123
data_Na2ZnCdRh
_space_group_name_H-M_alt 'P 1'
_space_group_IT_number 1
_space_group_name_Hall 'P 1'
_cell_length_a 5.4299
_cell_length_b 4.7825
_cell_length_c 5.4299
_cell_angle_alpha 90.00
_cell_angle_beta 90.00
_cell_angle_gamma 90.00
loop_
_atom_site_label
_atom_site_type_symbol
_atom_site_fract_x
_atom_site_fract_y
_atom_site_fract_z
_atom_site_occupancy
Cd1 Cd 0.5000 0.5000 0.5000 1
Na1 Na 0.0000 0.0000 0.5000 1
Na2 Na 0.5000 0.0000 0.0000 1
Rh1 Rh 0.0000 0.0000 0.0000 1
Zn1 Zn 0.0000 0.5000 0.0000 1

[8]
# NaZnCdRh | the Alexandria database | GGA-PBE | relaxed
# total DFT energy (no corrections)	-11.05	eV/cell
# total moment	0.00	μB/cell
# DOS at the Fermi energy	0.4222	states/eV/atom
# symmetry	No. 216
data_NaZnCdRh
_space_group_name_H-M_alt 'P 1'
_space_group_IT_number 1
_space_group_name_Hall 'P 1'
_cell_length_a 4.6136
_cell_length_b 4.6136
_cell_length_c 4.6136
_cell_angle_alpha 60.00
_cell_angle_beta 60.00
_cell_angle_gamma 60.00
loop_
_atom_site_label
_atom_site_type_symbol
_atom_site_fract_x
_atom_site_fract_y
_atom_site_fract_z
_atom_site_occupancy
Rh1 Rh 0.0000 0.0000 0.0000 1
Na1 Na 0.5000 0.5000 0.5000 1
Cd1 Cd 0.2500 0.2500 0.2500 1
Zn1 Zn 0.7500 0.7500 0.7500 1

[9]
# NaZnCd2Rh | the Alexandria database | GGA-PBE | relaxed
# total DFT energy (no corrections)	-11.91	eV/cell
# total moment	0.00	μB/cell
# DOS at the Fermi energy	0.3818	states/eV/atom
# symmetry	No. 123
data_NaZnCd2Rh
_space_group_name_H-M_alt 'P 1'
_space_group_IT_number 1
_space_group_name_Hall 'P 1'
_cell_length_a 5.2049
_cell_length_b 5.2049
_cell_length_c 4.8237
_cell_angle_alpha 90.00
_cell_angle_beta 90.00
_cell_angle_gamma 90.00
loop_
_atom_site_label
_atom_site_type_symbol
_atom_site_fract_x
_atom_site_fract_y
_atom_site_fract_z
_atom_site_occupancy
Na1 Na 0.5000 0.5000 0.5000 1
Cd1 Cd 0.5000 0.0000 0.0000 1
Cd2 Cd 0.0000 0.5000 0.0000 1
Zn1 Zn 0.0000 0.0000 0.5000 1
Rh1 Rh 0.0000 0.0000 0.0000 1

[10]
# Na2CdRu2 | the Alexandria database | GGA-PBE | relaxed
# total DFT energy (no corrections)	-17.30	eV/cell
# ΔE to the lowest computed polymorph	207	meV/atom
# total moment	3.20	μB/cell
# DOS at the Fermi energy	0.6865	states/eV/atom
# symmetry	No. 139
data_Na2CdRu2
_space_group_name_H-M_alt 'P 1'
_space_group_IT_number 1
_space_group_name_Hall 'P 1'
_cell_length_a 3.7837
_cell_length_b 3.7837
_cell_length_c 7.5945
_cell_angle_alpha 75.58
_cell_angle_beta 75.58
_cell_angle_gamma 90.00
loop_
_atom_site_label
_atom_site_type_symbol
_atom_site_fract_x
_atom_site_fract_y
_atom_site_fract_z
_atom_site_occupancy
Na1 Na 0.7500 0.2500 0.5000 1
Na2 Na 0.2500 0.7500 0.5000 1
Ru1 Ru 0.5831 0.5831 0.8339 1
Ru2 Ru 0.4169 0.4169 0.1661 1
Cd1 Cd 0.0000 0.0000 0.0000 1

[11]
# Na2CdRu2 | the Alexandria database | GGA-PBE | relaxed
# total DFT energy (no corrections)	-36.68	eV/cell
# ΔE to the lowest computed polymorph	0	meV/atom
# total moment	0.00	μB/cell
# DOS at the Fermi energy	0.9849	states/eV/atom
# symmetry	No. 127
data_Na2CdRu2
_space_group_name_H-M_alt 'P 1'
_space_group_IT_number 1
_space_group_name_Hall 'P 1'
_cell_length_a 9.0168
_cell_length_b 9.0168
_cell_length_c 2.6444
_cell_angle_alpha 90.00
_cell_angle_beta 90.00
_cell_angle_gamma 90.00
loop_
_atom_site_label
_atom_site_type_symbol
_atom_site_fract_x
_atom_site_fract_y
_atom_site_fract_z
_atom_site_occupancy
Ru1 Ru 0.5894 0.0894 0.0000 1
Ru2 Ru 0.9106 0.5894 0.0000 1
Ru3 Ru 0.4106 0.9106 0.0000 1
Ru4 Ru 0.0894 0.4106 0.0000 1
Na1 Na 0.6955 0.8045 0.5000 1
Na2 Na 0.3045 0.1955 0.5000 1
Na3 Na 0.1955 0.6955 0.5000 1
Na4 Na 0.8045 0.3045 0.5000 1
Cd1 Cd 0.5000 0.5000 0.0000 1
Cd2 Cd 0.0000 0.0000 0.0000 1

[12]
# Na2CdRu | the Alexandria database | GGA-PBE | relaxed
# total DFT energy (no corrections)	-19.42	eV/cell
# total moment	2.86	μB/cell
# DOS at the Fermi energy	0.9225	states/eV/atom
# symmetry	No. 122
data_Na2CdRu
_space_group_name_H-M_alt 'P 1'
_space_group_IT_number 1
_space_group_name_Hall 'P 1'
_cell_length_a 8.1566
_cell_length_b 8.1566
_cell_length_c 6.3993
_cell_angle_alpha 50.41
_cell_angle_beta 50.41
_cell_angle_gamma 90.00
loop_
_atom_site_label
_atom_site_type_symbol
_atom_site_fract_x
_atom_site_fract_y
_atom_site_fract_z
_atom_site_occupancy
Na1 Na 0.8750 0.8656 0.7500 1
Na2 Na 0.3750 0.3844 0.7500 1
Na3 Na 0.1344 0.6250 0.2500 1
Na4 Na 0.6156 0.1250 0.2500 1
Cd1 Cd 0.0000 0.0000 0.0000 1
Cd2 Cd 0.7500 0.2500 0.5000 1
Ru1 Ru 0.2500 0.7500 0.5000 1
Ru2 Ru 0.5000 0.5000 0.0000 1

[13]
# NaCdRu3 | the Alexandria database | GGA-PBE | relaxed
# total DFT energy (no corrections)	-19.85	eV/cell
# ΔE to the lowest computed polymorph	0	meV/atom
# total moment	6.24	μB/cell
# DOS at the Fermi energy	0.9393	states/eV/atom
# symmetry	No. 221
data_NaCdRu3
_space_group_name_H-M_alt 'P 1'
_space_group_IT_number 1
_space_group_name_Hall 'P 1'
_cell_length_a 5.0106
_cell_length_b 5.0106
_cell_length_c 5.0106
_cell_angle_alpha 90.00
_cell_angle_beta 90.00
_cell_angle_gamma 90.00
loop_
_atom_site_label
_atom_site_type_symbol
_atom_site_fract_x
_atom_site_fract_y
_atom_site_fract_z
_atom_site_occupancy
Ru1 Ru 0.5000 0.0000 0.0000 1
Ru2 Ru 0.0000 0.5000 0.0000 1
Ru3 Ru 0.0000 0.0000 0.5000 1
Cd1 Cd 0.0000 0.0000 0.0000 1
Na1 Na 0.5000 0.5000 0.5000 1

[14]
# NaCdRu3 | the Alexandria database | GGA-PBE | relaxed
# total DFT energy (no corrections)	-19.42	eV/cell
# ΔE to the lowest computed polymorph	88	meV/atom
# total moment	6.13	μB/cell
# DOS at the Fermi energy	1.0882	states/eV/atom
# symmetry	No. 221
data_NaCdRu3
_space_group_name_H-M_alt 'P 1'
_space_group_IT_number 1
_space_group_name_Hall 'P 1'
_cell_length_a 4.6080
_cell_length_b 4.6080
_cell_length_c 4.6080
_cell_angle_alpha 90.00
_cell_angle_beta 90.00
_cell_angle_gamma 90.00
loop_
_atom_site_label
_atom_site_type_symbol
_atom_site_fract_x
_atom_site_fract_y
_atom_site_fract_z
_atom_site_occupancy
Na1 Na 0.0000 0.0000 0.0000 1
Ru1 Ru 0.0000 0.0000 0.5000 1
Ru2 Ru 0.0000 0.5000 0.0000 1
Ru3 Ru 0.5000 0.0000 0.0000 1
Cd1 Cd 0.5000 0.5000 0.5000 1